A plane-wave DFT calculation with SCAN was carried out for a PBEsol-optimized structure of InSi2Mo.

Properties
* density of states at the Fermi level: 2.07 states/eV/f.u.
* uncorrected formation energy: 0.528 eV/atom
* spin magnetization: 0.9 μB/f.u.
* uncorrected energy: -21.5478 eV/atom

```
data_InSi2Mo
_space_group_name_H-M_alt 'I -4 m 2'
_space_group_IT_number 119
_space_group_name_Hall 'I -4 -2'
_cell_length_a 3.8578
_cell_length_b 3.8578
_cell_length_c 8.4899
_cell_angle_alpha 90.00
_cell_angle_beta 90.00
_cell_angle_gamma 90.00
loop_
_atom_site_label
_atom_site_type_symbol
_atom_site_fract_x
_atom_site_fract_y
_atom_site_fract_z
In1 In 0.0000 0.0000 0.0000
Si1 Si 0.0000 0.0000 0.5000
Si2 Si 0.0000 0.5000 0.7500
Mo1 Mo 0.0000 0.5000 0.2500
```